Density functional theory data (PBEsol) for a geometry-optimized BaCo2Rh structure.

Output
Energy = -5.5984 eV/atom

Cell and atoms, written as CIF:
```
data_BaCo2Rh
_chemical_formula_sum 'Ba2 Co4 Rh2'
_symmetry_space_group_name_H-M 'I m m m'
_symmetry_Int_Tables_number 71
_symmetry_space_group_name_Hall '-I 2 2'
_cell_length_a 3.088
_cell_length_b 5.149
_cell_length_c 9.365
_cell_angle_alpha 90.00
_cell_angle_beta 90.00
_cell_angle_gamma 90.00
loop_
_atom_site_label
_atom_site_type_symbol
_atom_site_fract_x
_atom_site_fract_y
_atom_site_fract_z
Ba1 Ba 0.000 0.000 0.000
Co1 Co 0.000 0.500 0.206
Rh1 Rh 0.000 0.000 0.500
```

---

Density functional theory data (PBEsol) for a geometry-optimized BaCo2Ru structure.

Output
Energy = -5.9686 eV/atom
Energy above the most stable polymorph in this dataset = 263 meV/atom

Cell and atoms, written as CIF:
```
data_BaCo2Ru
_chemical_formula_sum 'Ba2 Co4 Ru2'
_symmetry_space_group_name_H-M 'I m m 2'
_symmetry_Int_Tables_number 44
_symmetry_space_group_name_Hall 'I 2 -2'
_cell_length_a 2.983
_cell_length_b 5.072
_cell_length_c 9.222
_cell_angle_alpha 90.00
_cell_angle_beta 90.00
_cell_angle_gamma 90.00
loop_
_atom_site_label
_atom_site_type_symbol
_atom_site_fract_x
_atom_site_fract_y
_atom_site_fract_z
Ba1 Ba 0.000 0.000 0.000
Co1 Co 0.000 0.000 0.511
Co2 Co 0.000 0.500 0.205
Ru1 Ru 0.000 0.500 0.799
```

---

Density functional theory data (PBEsol) for a geometry-optimized BaCoRu structure.

Output
Energy = -5.4787 eV/atom

Cell and atoms, written as CIF:
```
data_BaCoRu
_chemical_formula_sum 'Ba4 Co4 Ru4'
_symmetry_space_group_name_H-M 'F -4 3 m'
_symmetry_Int_Tables_number 216
_symmetry_space_group_name_Hall 'F -4 2 3'
_cell_length_a 6.381
_cell_length_b 6.381
_cell_length_c 6.381
_cell_angle_alpha 90.00
_cell_angle_beta 90.00
_cell_angle_gamma 90.00
loop_
_atom_site_label
_atom_site_type_symbol
_atom_site_fract_x
_atom_site_fract_y
_atom_site_fract_z
Ba1 Ba 0.000 0.000 0.000
Co1 Co 0.250 0.250 0.750
Ru1 Ru 0.000 0.000 0.500
```

---

Density functional theory data (PBEsol) for a geometry-optimized Ba2CoRu structure.

Output
Energy = -4.5738 eV/atom

Cell and atoms, written as CIF:
```
data_Ba2CoRu
_chemical_formula_sum 'Ba4 Co2 Ru2'
_symmetry_space_group_name_H-M 'C m m m'
_symmetry_Int_Tables_number 65
_symmetry_space_group_name_Hall '-C 2 2'
_cell_length_a 7.408
_cell_length_b 7.429
_cell_length_c 3.591
_cell_angle_alpha 90.00
_cell_angle_beta 90.00
_cell_angle_gamma 90.00
loop_
_atom_site_label
_atom_site_type_symbol
_atom_site_fract_x
_atom_site_fract_y
_atom_site_fract_z
Ba1 Ba 0.250 0.250 0.000
Co1 Co 0.000 0.000 0.500
Ru1 Ru 0.000 0.500 0.500
```

---

Density functional theory data (PBEsol) for a geometry-optimized BaCo2Ru structure.

Output
Energy = -5.8972 eV/atom
Energy above the most stable polymorph in this dataset = 334 meV/atom

Cell and atoms, written as CIF:
```
data_BaCo2Ru
_chemical_formula_sum 'Ba2 Co4 Ru2'
_symmetry_space_group_name_H-M 'I m m m'
_symmetry_Int_Tables_number 71
_symmetry_space_group_name_Hall '-I 2 2'
_cell_length_a 3.068
_cell_length_b 5.289
_cell_length_c 9.182
_cell_angle_alpha 90.00
_cell_angle_beta 90.00
_cell_angle_gamma 90.00
loop_
_atom_site_label
_atom_site_type_symbol
_atom_site_fract_x
_atom_site_fract_y
_atom_site_fract_z
Ba1 Ba 0.000 0.000 0.000
Co1 Co 0.000 0.500 0.203
Ru1 Ru 0.000 0.000 0.500
```

---

Density functional theory data (PBEsol) for a geometry-optimized BaCo2Ru structure.

Output
Energy = -6.2314 eV/atom
Energy above the most stable polymorph in this dataset = 0 meV/atom

Cell and atoms, written as CIF:
```
data_BaCo2Ru
_chemical_formula_sum 'Ba1 Co2 Ru1'
_symmetry_space_group_name_H-M 'P 1 m 1'
_symmetry_Int_Tables_number 6
_symmetry_space_group_name_Hall 'P -2y'
_cell_length_a 4.123
_cell_length_b 3.935
_cell_length_c 5.284
_cell_angle_alpha 90.00
_cell_angle_beta 102.53
_cell_angle_gamma 90.00
loop_
_atom_site_label
_atom_site_type_symbol
_atom_site_fract_x
_atom_site_fract_y
_atom_site_fract_z
Ba1 Ba 0.000 0.000 0.000
Co1 Co 0.498 0.000 0.508
Co2 Co 0.681 0.500 0.367
Ru1 Ru 0.213 0.500 0.550
```

---

Density functional theory data (PBEsol) for a geometry-optimized Ba2CoSbRu structure.

Output
Energy = -4.8123 eV/atom
Formation energy without anion corrections = 541 meV/atom

Cell and atoms, written as CIF:
```
data_Ba2CoSbRu
_chemical_formula_sum 'Ba2 Co1 Sb1 Ru1'
_symmetry_space_group_name_H-M 'P 4/m m m'
_symmetry_Int_Tables_number 123
_symmetry_space_group_name_Hall '-P 4 2'
_cell_length_a 5.852
_cell_length_b 5.852
_cell_length_c 4.942
_cell_angle_alpha 90.00
_cell_angle_beta 90.00
_cell_angle_gamma 90.00
loop_
_atom_site_label
_atom_site_type_symbol
_atom_site_fract_x
_atom_site_fract_y
_atom_site_fract_z
Ba1 Ba 0.000 0.500 0.000
Co1 Co 0.000 0.000 0.500
Sb1 Sb 0.500 0.500 0.500
Ru1 Ru 0.500 0.500 0.000
```

---

Density functional theory data (PBEsol) for a geometry-optimized Ba2CoSb structure.

Output
Energy = -4.0973 eV/atom
Formation energy without anion corrections = 51 meV/atom

Cell and atoms, written as CIF:
```
data_Ba2CoSb
_chemical_formula_sum 'Ba2 Co1 Sb1'
_symmetry_space_group_name_H-M 'P 4 m m'
_symmetry_Int_Tables_number 99
_symmetry_space_group_name_Hall 'P 4 -2'
_cell_length_a 3.569
_cell_length_b 3.569
_cell_length_c 9.680
_cell_angle_alpha 90.00
_cell_angle_beta 90.00
_cell_angle_gamma 90.00
loop_
_atom_site_label
_atom_site_type_symbol
_atom_site_fract_x
_atom_site_fract_y
_atom_site_fract_z
Ba1 Ba 0.000 0.000 0.000
Ba2 Ba 0.500 0.500 0.407
Co1 Co 0.000 0.000 0.659
Sb1 Sb 0.500 0.500 0.744
```

---

Density functional theory data (PBEsol) for a geometry-optimized Ba2CoSb structure.

Output
Energy = -4.4285 eV/atom
Formation energy without anion corrections = -280 meV/atom

Cell and atoms, written as CIF:
```
data_Ba2CoSb
_chemical_formula_sum 'Ba4 Co2 Sb2'
_symmetry_space_group_name_H-M 'C 1 2/m 1'
_symmetry_Int_Tables_number 12
_symmetry_space_group_name_Hall '-C 2y'
_cell_length_a 11.758
_cell_length_b 4.827
_cell_length_c 4.810
_cell_angle_alpha 90.00
_cell_angle_beta 113.97
_cell_angle_gamma 90.00
loop_
_atom_site_label
_atom_site_type_symbol
_atom_site_fract_x
_atom_site_fract_y
_atom_site_fract_z
Ba1 Ba 0.165 0.000 0.165
Co1 Co 0.000 0.500 0.000
Sb1 Sb 0.000 0.500 0.500
```

---

Density functional theory data (PBEsol) for a geometry-optimized BaCoSb3 structure.

Output
Energy = -4.9027 eV/atom
Formation energy without anion corrections = -191 meV/atom

Cell and atoms, written as CIF:
```
data_BaCoSb3
_chemical_formula_sum 'Ba1 Co1 Sb3'
_symmetry_space_group_name_H-M 'P m -3 m'
_symmetry_Int_Tables_number 221
_symmetry_space_group_name_Hall '-P 4 2 3'
_cell_length_a 5.097
_cell_length_b 5.097
_cell_length_c 5.097
_cell_angle_alpha 90.00
_cell_angle_beta 90.00
_cell_angle_gamma 90.00
loop_
_atom_site_label
_atom_site_type_symbol
_atom_site_fract_x
_atom_site_fract_y
_atom_site_fract_z
Ba1 Ba 0.000 0.000 0.000
Co1 Co 0.500 0.500 0.500
Sb1 Sb 0.000 0.500 0.500
```

---

Density functional theory data (PBEsol) for a geometry-optimized BaCoSb2 structure.

Output
Energy = -4.9510 eV/atom
Formation energy without anion corrections = -201 meV/atom

Cell and atoms, written as CIF:
```
data_BaCoSb2
_chemical_formula_sum 'Ba4 Co4 Sb8'
_symmetry_space_group_name_H-M 'I -4 2 d'
_symmetry_Int_Tables_number 122
_symmetry_space_group_name_Hall 'I -4 2bw'
_cell_length_a 5.630
_cell_length_b 5.630
_cell_length_c 15.745
_cell_angle_alpha 90.00
_cell_angle_beta 90.00
_cell_angle_gamma 90.00
loop_
_atom_site_label
_atom_site_type_symbol
_atom_site_fract_x
_atom_site_fract_y
_atom_site_fract_z
Ba1 Ba 0.000 0.000 0.000
Co1 Co 0.000 0.000 0.500
Sb1 Sb 0.066 0.250 0.625
```

---

Density functional theory data (PBEsol) for a geometry-optimized Ba2CoSb structure.

Output
Energy = -4.1582 eV/atom
Formation energy without anion corrections = -10 meV/atom

Cell and atoms, written as CIF:
```
data_Ba2CoSb
_chemical_formula_sum 'Ba2 Co1 Sb1'
_symmetry_space_group_name_H-M 'P 4/m m m'
_symmetry_Int_Tables_number 123
_symmetry_space_group_name_Hall '-P 4 2'
_cell_length_a 5.467
_cell_length_b 5.467
_cell_length_c 4.355
_cell_angle_alpha 90.00
_cell_angle_beta 90.00
_cell_angle_gamma 90.00
loop_
_atom_site_label
_atom_site_type_symbol
_atom_site_fract_x
_atom_site_fract_y
_atom_site_fract_z
Ba1 Ba 0.000 0.500 0.000
Co1 Co 0.000 0.000 0.500
Sb1 Sb 0.500 0.500 0.500
```

---

Copy entry 2 word for word.
Density functional theory data (PBEsol) for a geometry-optimized BaCo2Ru structure.

Output
Energy = -5.9686 eV/atom
Energy above the most stable polymorph in this dataset = 263 meV/atom

Cell and atoms, written as CIF:
```
data_BaCo2Ru
_chemical_formula_sum 'Ba2 Co4 Ru2'
_symmetry_space_group_name_H-M 'I m m 2'
_symmetry_Int_Tables_number 44
_symmetry_space_group_name_Hall 'I 2 -2'
_cell_length_a 2.983
_cell_length_b 5.072
_cell_length_c 9.222
_cell_angle_alpha 90.00
_cell_angle_beta 90.00
_cell_angle_gamma 90.00
loop_
_atom_site_label
_atom_site_type_symbol
_atom_site_fract_x
_atom_site_fract_y
_atom_site_fract_z
Ba1 Ba 0.000 0.000 0.000
Co1 Co 0.000 0.000 0.511
Co2 Co 0.000 0.500 0.205
Ru1 Ru 0.000 0.500 0.799
```

---

Q: energy of number 3 (BaCoRu)?
A: -5.4787 eV/atom

---

Q: Which of these has the highest energy?
A: number 8